No. 1
# BaIn11Sn

BaIn11Sn after structural relaxation (PBE, the Alexandria database).

```
BaIn11Sn
1.0
3.229 -7.680 0.000
3.229 7.680 0.000
-3.146 0.000 7.642
Ba In Sn
1 11 1
Direct
0.000 0.000 0.000
0.000 0.357 0.357
0.000 0.500 0.000
0.000 0.643 0.643
0.289 0.503 0.787
0.357 0.000 0.357
0.497 0.711 0.213
0.500 0.000 0.000
0.500 0.500 0.500
0.503 0.289 0.787
0.643 0.000 0.643
0.711 0.497 0.213
0.000 0.000 0.500
```

Calculated values
- Energy of formation: -87 meV per atom
- D(E_F): 6.098 states/eV per cell
- Space group: C2/m
- Uncorrected energy: -2.860 eV/atom



No. 2
# Ac4PdI2N

Ac4PdI2N after structural relaxation (PBE, the Alexandria database).

```
Ac4PdI2N
1.0
7.490 0.000 0.000
0.000 4.151 0.000
-2.591 0.000 8.489
Ac Pd I N
4 1 2 1
Direct
0.200 0.000 0.181
0.241 0.500 0.819
0.759 0.500 0.181
0.800 0.000 0.819
0.500 0.000 0.000
0.000 0.000 0.500
0.500 0.500 0.500
0.000 0.500 0.000
```

Calculated values
- Formation energy (no corrections): -952.6 meV/atom
- D(E_F): 7.084 states/eV per cell
- Space group: P2/m
- Uncorrected energy: -5.084 eV/atom



No. 3
# LiLa2Al4Pt3

LiLa2Al4Pt3 after structural relaxation (PBE, the Alexandria database).

```
LiLa2Al4Pt3
1.0
4.377 0.000 0.000
0.000 4.377 0.000
0.000 0.000 10.353
Li La Al Pt
1 2 4 3
Direct
0.000 0.000 0.000
0.000 0.500 0.747
0.500 0.000 0.253
0.000 0.000 0.500
0.000 0.500 0.125
0.500 0.000 0.875
0.500 0.500 0.500
0.000 0.500 0.369
0.500 0.000 0.631
0.500 0.500 0.000
```

Calculated values
- Energy of formation: -946 meV per atom
- D(E_F): 9.286 states/eV per cell
- Space group: P-4m2
- Uncorrected energy: -5.432 eV/atom



No. 4
# ErMgSc5

ErMgSc5 after structural relaxation (PBE, the Alexandria database).

```
ErMgSc5
1.0
7.784 -2.997 0.000
7.784 2.997 0.000
-5.899 0.000 7.719
Er Mg Sc
2 2 10
Direct
0.000 0.500 0.000
0.500 0.000 0.500
0.003 0.997 0.750
0.997 0.003 0.250
0.080 0.577 0.419
0.171 0.650 0.894
0.350 0.829 0.606
0.423 0.920 0.081
0.468 0.532 0.250
0.532 0.468 0.750
0.577 0.080 0.919
0.650 0.171 0.394
0.829 0.350 0.106
0.920 0.423 0.581
```

Calculated values
- Energy of formation: 166 meV per atom
- D(E_F): 24.842 states/eV per cell
- Space group: C2/c
- Uncorrected energy: -5.236 eV/atom
- Energy above the lowest structure with this stoichiometry: 0.000 eV/atom